# PBE Cd2NiBMo, optimized geometry
data_Cd2NiBMo
_chemical_formula_sum 'Cd2 Ni1 B1 Mo1'
_cell_length_a 4.808
_cell_length_b 4.808
_cell_length_c 4.496
_cell_angle_alpha 90.00
_cell_angle_beta 90.00
_cell_angle_gamma 90.00
_space_group_name_H-M_alt 'P 4/m m m'
_space_group_IT_number 123
_space_group_name_Hall '-P 4 2'
loop_
_atom_site_label
_atom_site_type_symbol
_atom_site_fract_x
_atom_site_fract_y
_atom_site_fract_z
_atom_site_occupancy
Cd1 Cd 0.000 0.500 0.000 1
Ni1 Ni 0.000 0.000 0.000 1
B1 B 0.500 0.500 0.500 1
Mo1 Mo 0.000 0.000 0.500 1
# - Calculated volume: 103.9 Å³ per cell
# - Energy of formation: 1543 meV per atom
# - DOS(E_F): 3.628 states/eV per cell